(1)
Entry from Alexandria via LeMat-Bulk: a relaxed structure of CoBiI2O (GGA+U).

Unit cell a=5.878 b=5.878 c=3.660 alpha=90.00 beta=90.00 gamma=90.00
Atoms (fractional coordinates):
Bi1 0.500 0.500 0.500
Co1 0.000 0.000 0.000
O1 0.000 0.000 0.500
I1 0.000 0.500 0.000
I2 0.500 0.000 0.000

Calculated values
Its space group is P4/mmm, No. 123. As for the magnetization: 3.18 μB per formula unit. The calculation puts the density of states at the Fermi level at 4.681 states/eV per cell.

---

(2)
Entry from Alexandria via LeMat-Bulk: a relaxed structure of CoBiI2O (GGA+U).

Unit cell a=6.288 b=6.288 c=4.314 alpha=90.00 beta=90.00 gamma=90.00
Atoms (fractional coordinates):
O1 0.000 0.000 0.500
Bi1 0.000 0.000 0.000
I1 0.000 0.500 0.000
I2 0.500 0.000 0.000
Co1 0.500 0.500 0.500

Calculated values
Its space group is P4/mmm, No. 123. As for the magnetization: 3.64 μB per formula unit. The calculation puts the density of states at the Fermi level at 4.757 states/eV per cell.

---

Which structure is the least stable? The one labeled (2).